DFT (PBE) results for a relaxed La2ZnSn crystal.

Summary:
total energy: -4.325 eV/atom
E_form: -0.5421 eV/atom

Unit cell a=5.262 b=5.262 c=4.175 alpha=90.00 beta=90.00 gamma=90.00
Atoms (fractional coordinates):
La 0.000 0.500 0.000
La 0.500 0.000 0.000
Zn 0.000 0.000 0.500
Sn 0.500 0.500 0.500


DFT (PBE) results for a relaxed Y4Hg3Pt crystal.

Summary:
total energy: -4.785 eV/atom
E_form: -0.6848 eV/atom

Unit cell a=3.648 b=3.648 c=14.848 alpha=90.00 beta=90.00 gamma=90.00
Atoms (fractional coordinates):
Y 0.000 0.000 0.111
Y 0.000 0.000 0.371
Y 0.000 0.000 0.629
Y 0.000 0.000 0.889
Hg 0.500 0.500 0.246
Hg 0.500 0.500 0.500
Hg 0.500 0.500 0.754
Pt 0.500 0.500 0.000